[1]
Ba2AlCuRe | PBE-GGA | relaxed

extended XYZ file:
```
5
Lattice="6.0019 0.0000 0.0000 0.0000 4.7340 0.0000 0.0000 0.0000 6.0019" Properties=species:S:1:pos:R:3 pbc="T T T"
Cu 0.0000 2.3670 0.0000
Re 0.0000 0.0000 0.0000
Al 3.0009 2.3670 3.0009
Ba 0.0000 0.0000 3.0009
Ba 3.0009 0.0000 0.0000
```

* space-group type: P4/mmm, No. 123
* total energy: -3.8791 eV/atom
* magnetic moment: 0.03 μB per atom


[2]
ErZnIn | PBE-GGA | relaxed

extended XYZ file:
```
3
Lattice="-1.4427 0.1922 3.2709 -1.4900 -4.3918 -0.3991 4.2014 0.8777 1.8015" Properties=species:S:1:pos:R:3 pbc="T T T"
Er -0.5553 -2.5071 2.5165
In -0.2424 0.0323 0.5496
Zn 2.0665 -0.8471 1.6072
```

* space-group type: P3m1, No. 156
* total energy: -3.2609 eV/atom
* magnetic moment: 0.00 μB per atom


[3]
Nd8PRh3I4 | PBE-GGA | relaxed

extended XYZ file:
```
16
Lattice="-5.6296 -5.2615 3.5031 0.3924 -5.4909 -7.6164 7.3231 1.5911 3.9319" Properties=species:S:1:pos:R:3 pbc="T T T"
Nd 2.5633 -2.2775 0.6987
Nd 5.9356 -3.4678 -0.6556
Nd -0.2794 -4.9175 2.3914
Nd 3.1909 -6.0331 1.0523
Nd -1.1049 -3.1282 -1.2337
Nd -3.8496 -5.6935 0.4743
Nd -0.4773 -6.8838 -0.8800
Nd 2.3653 -4.2438 -2.5728
Rh 1.0430 -4.5806 -0.0907
Rh -2.6186 -5.3762 -2.0566
Rh 3.8578 -1.9499 -1.8422
I -2.8148 -2.6307 1.7516
I 0.8468 -1.8352 3.7175
I 0.0000 0.0000 0.0000
I 3.6616 0.7955 1.9659
P 0.1962 -2.7454 -3.8082
```

* uncorrected formation energy: -15.8 eV per formula unit
* space-group type: R-3m, No. 166
* magnetic moment: 0.00 μB per atom


[4]
VCr2HRu | PBE-GGA | relaxed

extended XYZ file:
```
5
Lattice="-2.4368 1.5802 -2.3008 -1.8344 -3.2087 -0.2610 -2.1916 1.0078 3.0133" Properties=species:S:1:pos:R:3 pbc="T T T"
Ru -3.2314 -0.3103 0.2258
V -1.0958 0.5039 1.5067
Cr -0.9172 -1.6044 -0.1305
Cr -1.2184 0.7901 -1.1504
H 0.0000 0.0000 0.0000
```

* energy above the most stable polymorph in this dataset: 0 meV/atom
* space-group type: P4/mmm, No. 123
* magnetic moment: 0.00 μB per atom


[5]
PuHfSc | PBE-GGA | relaxed

extended XYZ file:
```
3
Lattice="-0.9541 2.6736 1.1753 -3.1014 0.6594 -4.0177 -1.6955 -2.4376 4.1687" Properties=species:S:1:pos:R:3 pbc="T T T"
Sc -3.2689 1.4097 -0.5052
Pu -2.3233 -0.9591 1.6361
Hf -0.1587 0.4448 0.1955
```

* energy above the most stable polymorph in this dataset: 36 meV/atom
* space-group type: P-6m2, No. 187
* magnetic moment: 1.62 μB per atom